TaAgPd2 | PBE-GGA | relaxed

Results
ρ: 12.5 g cm⁻³
offset from the most stable computed form: 8.1 kJ/mol of atoms

abc: 2.888 2.888 9.399
angles: 81.16 81.16 60.00
Sites, in units of the cell vectors:
Pd: 0.747 0.747 0.759
Pd: 0.253 0.253 0.241
Ag: 0.500 0.500 0.500
Ta: 0.000 0.000 0.000